The following is a DFT calculation (PBE) of a geometry-optimized DyEr5Tl6 structure.

Output
Total DFT energy (no corrections), eV/f.u.: -45.4
N(E_F), states/eV/cell: 9.4
Energy relative to the elements, eV/atom: -0.3143
Magnetic moment, μB per formula unit: 0.0
ΔE to the lowest computed polymorph, meV/atom: 0
Crystal system: monoclinic

a = 5.3386 Å, b = 9.2592 Å, c = 9.2592 Å
α = 120.18°, β = 106.83°, γ = 106.83°
Fractional positions:
Tl 0.2485 0.7484 0.7484
Tl 0.7515 0.2516 0.2516
Tl 0.2509 0.0835 0.4182
Tl 0.7491 0.5818 0.9165
Tl 0.2509 0.4182 0.0835
Tl 0.7491 0.9165 0.5818
Dy 0.0000 0.0000 0.0000
Er 0.5000 0.8339 0.1661
Er 0.0000 0.6667 0.3333
Er 0.0000 0.3333 0.6667
Er 0.5000 0.1661 0.8339
Er 0.5000 0.5000 0.5000